Record 1
The following is a PBE calculation of a relaxed structure of RbTmOs2O8, from the Alexandria database.

The structure in POSCAR format:
```
RbTmOs2O8
1.0
5.9691 0.0000 0.0000
-2.9845 5.1694 0.0000
0.0000 0.0000 7.9764
Rb Tm Os O
1 1 2 8
Direct
0.0000 0.0000 0.0000
0.0000 0.0000 0.5000
0.3333 0.6667 0.7479
0.6667 0.3333 0.2521
0.1540 0.3358 0.6707
0.1818 0.8460 0.6707
0.3333 0.6667 0.9698
0.3358 0.1818 0.3293
0.6642 0.8182 0.6707
0.6667 0.3333 0.0302
0.8182 0.1540 0.3293
0.8460 0.6642 0.3293
```

Calculated volume in Å³ per atom: 20.51
Uncorrected formation energy in eV per atom: -1.563



Record 2
The following is a PBE calculation of a relaxed structure of ScTeRhI2, from the Alexandria database.

The structure in POSCAR format:
```
ScTeRhI2
1.0
5.2910 0.0000 0.0000
0.0000 5.2910 0.0000
0.0000 0.0000 5.3770
Sc Te Rh I
1 1 1 2
Direct
0.0000 0.0000 0.0000
0.5000 0.5000 0.0000
0.5000 0.5000 0.5000
0.0000 0.5000 0.5000
0.5000 0.0000 0.5000
```

Calculated volume in Å³ per atom: 30.11
Uncorrected formation energy in eV per atom: 0.060



Which of these has the highest calculated volume? ScTeRhI2



The lowest calculated volume belongs to which entry? RbTmOs2O8